#w
Material: Ba5Sr
Method: DFT, GGA-PBEsol
State: relaxed

Cell and atoms, written as CIF:
```
data_Ba5Sr
_chemical_formula_sum 'Ba5 Sr1'
_symmetry_space_group_name_H-M 'P 1'
_symmetry_Int_Tables_number 1
_cell_length_a 7.082
_cell_length_b 7.477
_cell_length_c 7.477
_cell_angle_alpha 120.00
_cell_angle_beta 90.00
_cell_angle_gamma 90.00
loop_
_symmetry_equiv_pos_as_xyz
'x,y,z'
loop_
_atom_site_label
_atom_site_fract_x
_atom_site_fract_y
_atom_site_fract_z
_atom_site_occupancy
Sr1 0.500 0.000 0.000 1
Ba1 0.000 0.333 0.333 1
Ba2 0.000 0.667 0.000 1
Ba3 0.000 0.000 0.667 1
Ba4 0.500 0.333 0.667 1
Ba5 0.500 0.667 0.333 1
```

Results
D(E_F)   9.20 states/eV per cell
Space-group type   P-62m, No. 189

#x
Material: Ba5Sr
Method: DFT, GGA-PBEsol
State: relaxed

Cell and atoms, written as CIF:
```
data_Ba5Sr
_chemical_formula_sum 'Ba5 Sr1'
_symmetry_space_group_name_H-M 'P 1'
_symmetry_Int_Tables_number 1
_cell_length_a 4.378
_cell_length_b 4.378
_cell_length_c 18.064
_cell_angle_alpha 90.00
_cell_angle_beta 90.00
_cell_angle_gamma 90.00
loop_
_symmetry_equiv_pos_as_xyz
'x,y,z'
loop_
_atom_site_label
_atom_site_fract_x
_atom_site_fract_y
_atom_site_fract_z
_atom_site_occupancy
Sr1 0.500 0.500 0.000 1
Ba1 0.000 0.000 0.838 1
Ba2 0.000 0.000 0.162 1
Ba3 0.500 0.500 0.669 1
Ba4 0.500 0.500 0.331 1
Ba5 0.000 0.000 0.500 1
```

Results
D(E_F)   9.03 states/eV per cell
Space-group type   P4/mmm, No. 123

Stability, lowest: #x

#w
Material: Ba5Sr
Method: DFT, GGA-PBEsol
State: relaxed

Cell and atoms, written as CIF:
```
data_Ba5Sr
_chemical_formula_sum 'Ba5 Sr1'
_symmetry_space_group_name_H-M 'P 1'
_symmetry_Int_Tables_number 1
_cell_length_a 4.311
_cell_length_b 8.304
_cell_length_c 10.303
_cell_angle_alpha 105.00
_cell_angle_beta 90.00
_cell_angle_gamma 105.04
loop_
_symmetry_equiv_pos_as_xyz
'x,y,z'
loop_
_atom_site_label
_atom_site_fract_x
_atom_site_fract_y
_atom_site_fract_z
_atom_site_occupancy
Sr1 0.722 0.444 0.945 1
Ba1 0.001 0.002 0.000 1
Ba2 0.667 0.333 0.332 1
Ba3 0.332 0.665 0.668 1
Ba4 0.388 0.775 0.276 1
Ba5 0.057 0.114 0.613 1
```

Results
D(E_F)   9.48 states/eV per cell
Space-group type   Cm, No. 8

#x
Material: Ba5Sr
Method: DFT, GGA-PBEsol
State: relaxed

Cell and atoms, written as CIF:
```
data_Ba5Sr
_chemical_formula_sum 'Ba5 Sr1'
_symmetry_space_group_name_H-M 'P 1'
_symmetry_Int_Tables_number 1
_cell_length_a 6.149
_cell_length_b 6.174
_cell_length_c 9.634
_cell_angle_alpha 71.31
_cell_angle_beta 90.00
_cell_angle_gamma 90.00
loop_
_symmetry_equiv_pos_as_xyz
'x,y,z'
loop_
_atom_site_label
_atom_site_fract_x
_atom_site_fract_y
_atom_site_fract_z
_atom_site_occupancy
Sr1 0.000 0.500 0.000 1
Ba1 0.500 0.334 0.331 1
Ba2 0.000 0.165 0.669 1
Ba3 0.500 0.000 0.000 1
Ba4 0.000 0.835 0.331 1
Ba5 0.500 0.666 0.669 1
```

Results
D(E_F)   9.26 states/eV per cell
Space-group type   Cmmm, No. 65

Stability, lowest: #x

#w
Material: Ba5Sr4
Method: DFT, GGA-PBEsol
State: relaxed

Cell and atoms, written as CIF:
```
data_Ba5Sr4
_chemical_formula_sum 'Ba5 Sr4'
_symmetry_space_group_name_H-M 'P 1'
_symmetry_Int_Tables_number 1
_cell_length_a 4.839
_cell_length_b 10.396
_cell_length_c 10.396
_cell_angle_alpha 86.90
_cell_angle_beta 76.54
_cell_angle_gamma 76.54
loop_
_symmetry_equiv_pos_as_xyz
'x,y,z'
loop_
_atom_site_label
_atom_site_fract_x
_atom_site_fract_y
_atom_site_fract_z
_atom_site_occupancy
Ba1 0.000 0.000 0.000 1
Ba2 0.666 0.000 0.667 1
Ba3 0.334 0.000 0.333 1
Ba4 0.666 0.667 0.000 1
Ba5 0.334 0.333 0.000 1
Sr1 0.000 0.664 0.336 1
Sr2 0.000 0.336 0.664 1
Sr3 0.664 0.336 0.336 1
Sr4 0.336 0.664 0.664 1
```

Results
D(E_F)   10.27 states/eV per cell
Space-group type   I4/mmm, No. 139

#x
Material: Ba5Sr4
Method: DFT, GGA-PBEsol
State: relaxed

Cell and atoms, written as CIF:
```
data_Ba5Sr4
_chemical_formula_sum 'Ba10 Sr8'
_symmetry_space_group_name_H-M 'P 1'
_symmetry_Int_Tables_number 1
_cell_length_a 8.147
_cell_length_b 11.906
_cell_length_c 11.906
_cell_angle_alpha 120.00
_cell_angle_beta 90.00
_cell_angle_gamma 90.00
loop_
_symmetry_equiv_pos_as_xyz
'x,y,z'
loop_
_atom_site_label
_atom_site_fract_x
_atom_site_fract_y
_atom_site_fract_z
_atom_site_occupancy
Ba1 0.750 0.000 0.661 1
Ba2 0.750 0.661 0.000 1
Ba3 0.750 0.339 0.339 1
Ba4 0.250 0.000 0.339 1
Ba5 0.250 0.339 0.000 1
Ba6 0.250 0.661 0.661 1
Ba7 0.000 0.333 0.667 1
Ba8 0.500 0.667 0.333 1
Ba9 0.000 0.667 0.333 1
Ba10 0.500 0.333 0.667 1
Sr1 0.000 0.000 0.000 1
Sr2 0.500 0.000 0.000 1
Sr3 0.750 0.000 0.326 1
Sr4 0.750 0.326 0.000 1
Sr5 0.750 0.674 0.674 1
Sr6 0.250 0.000 0.674 1
Sr7 0.250 0.674 0.000 1
Sr8 0.250 0.326 0.326 1
```

Results
D(E_F)   30.42 states/eV per cell
Space-group type   P6_3/mcm, No. 193

Stability, lowest: #x

#w
Material: BaSrTa2
Method: DFT, GGA-PBEsol
State: relaxed

Cell and atoms, written as CIF:
```
data_BaSrTa2
_chemical_formula_sum 'Ba1 Sr1 Ta2'
_symmetry_space_group_name_H-M 'P 1'
_symmetry_Int_Tables_number 1
_cell_length_a 3.067
_cell_length_b 5.772
_cell_length_c 6.837
_cell_angle_alpha 90.00
_cell_angle_beta 104.80
_cell_angle_gamma 90.00
loop_
_symmetry_equiv_pos_as_xyz
'x,y,z'
loop_
_atom_site_label
_atom_site_fract_x
_atom_site_fract_y
_atom_site_fract_z
_atom_site_occupancy
Ba1 0.500 0.500 0.000 1
Sr1 0.500 0.500 0.500 1
Ta1 0.888 0.000 0.666 1
Ta2 0.112 0.000 0.334 1
```

Results
D(E_F)   6.05 states/eV per cell
Space-group type   P2/m, No. 10

#x
Material: BaSrTa2
Method: DFT, GGA-PBEsol
State: relaxed

Cell and atoms, written as CIF:
```
data_BaSrTa2
_chemical_formula_sum 'Ba1 Sr1 Ta2'
_symmetry_space_group_name_H-M 'P 1'
_symmetry_Int_Tables_number 1
_cell_length_a 3.282
_cell_length_b 4.792
_cell_length_c 8.826
_cell_angle_alpha 92.62
_cell_angle_beta 90.00
_cell_angle_gamma 110.03
loop_
_symmetry_equiv_pos_as_xyz
'x,y,z'
loop_
_atom_site_label
_atom_site_fract_x
_atom_site_fract_y
_atom_site_fract_z
_atom_site_occupancy
Ba1 0.505 0.010 0.572 1
Sr1 0.740 0.479 0.170 1
Ta1 0.993 0.987 0.915 1
Ta2 0.262 0.524 0.844 1
```

Results
D(E_F)   3.59 states/eV per cell
Space-group type   Cm, No. 8

Stability, lowest: #w

#w
Material: BaSr2Ta
Method: DFT, GGA-PBEsol
State: relaxed

Cell and atoms, written as CIF:
```
data_BaSr2Ta
_chemical_formula_sum 'Ba1 Sr2 Ta1'
_symmetry_space_group_name_H-M 'P 1'
_symmetry_Int_Tables_number 1
_cell_length_a 3.493
_cell_length_b 6.940
_cell_length_c 6.975
_cell_angle_alpha 117.31
_cell_angle_beta 100.00
_cell_angle_gamma 98.88
loop_
_symmetry_equiv_pos_as_xyz
'x,y,z'
loop_
_atom_site_label
_atom_site_fract_x
_atom_site_fract_y
_atom_site_fract_z
_atom_site_occupancy
Ba1 0.500 0.000 0.000 1
Sr1 0.500 0.500 0.500 1
Sr2 0.000 0.000 0.500 1
Ta1 0.000 0.500 0.000 1
```

Results
D(E_F)   5.13 states/eV per cell
Space-group type   C2/m, No. 12

#x
Material: BaSr2Ta
Method: DFT, GGA-PBEsol
State: relaxed

Cell and atoms, written as CIF:
```
data_BaSr2Ta
_chemical_formula_sum 'Ba1 Sr2 Ta1'
_symmetry_space_group_name_H-M 'P 1'
_symmetry_Int_Tables_number 1
_cell_length_a 3.516
_cell_length_b 3.516
_cell_length_c 11.675
_cell_angle_alpha 90.00
_cell_angle_beta 90.00
_cell_angle_gamma 90.00
loop_
_symmetry_equiv_pos_as_xyz
'x,y,z'
loop_
_atom_site_label
_atom_site_fract_x
_atom_site_fract_y
_atom_site_fract_z
_atom_site_occupancy
Ba1 0.500 0.500 0.500 1
Sr1 0.000 0.000 0.805 1
Sr2 0.000 0.000 0.195 1
Ta1 0.500 0.500 0.000 1
```

Results
D(E_F)   7.16 states/eV per cell
Space-group type   P4/mmm, No. 123

Stability, lowest: #w

#w
Material: BaSrTe2
Method: DFT, GGA-PBEsol
State: relaxed

Cell and atoms, written as CIF:
```
data_BaSrTe2
_chemical_formula_sum 'Ba1 Sr1 Te2'
_symmetry_space_group_name_H-M 'P 1'
_symmetry_Int_Tables_number 1
_cell_length_a 4.802
_cell_length_b 4.802
_cell_length_c 8.317
_cell_angle_alpha 89.97
_cell_angle_beta 106.80
_cell_angle_gamma 120.04
loop_
_symmetry_equiv_pos_as_xyz
'x,y,z'
loop_
_atom_site_label
_atom_site_fract_x
_atom_site_fract_y
_atom_site_fract_z
_atom_site_occupancy
Sr1 0.500 0.500 0.000 1
Te1 0.991 0.245 0.236 1
Te2 0.009 0.755 0.764 1
Ba1 0.500 0.000 0.500 1
```

Results
D(E_F)   0.00 states/eV per cell
Space-group type   R-3m, No. 166

#x
Material: BaSrTe2
Method: DFT, GGA-PBEsol
State: relaxed

Cell and atoms, written as CIF:
```
data_BaSrTe2
_chemical_formula_sum 'Ba1 Sr1 Te2'
_symmetry_space_group_name_H-M 'P 1'
_symmetry_Int_Tables_number 1
_cell_length_a 4.701
_cell_length_b 4.701
_cell_length_c 8.636
_cell_angle_alpha 74.21
_cell_angle_beta 74.21
_cell_angle_gamma 60.00
loop_
_symmetry_equiv_pos_as_xyz
'x,y,z'
loop_
_atom_site_label
_atom_site_fract_x
_atom_site_fract_y
_atom_site_fract_z
_atom_site_occupancy
Sr1 0.332 0.332 0.004 1
Te1 0.922 0.922 0.235 1
Te2 0.745 0.745 0.765 1
Ba1 0.501 0.501 0.496 1
```

Results
D(E_F)   0.00 states/eV per cell
Space-group type   R3m, No. 160

#y
Material: BaSrTe2
Method: DFT, GGA-PBEsol
State: relaxed

Cell and atoms, written as CIF:
```
data_BaSrTe2
_chemical_formula_sum 'Ba1 Sr1 Te2'
_symmetry_space_group_name_H-M 'P 1'
_symmetry_Int_Tables_number 1
_cell_length_a 4.814
_cell_length_b 4.814
_cell_length_c 6.807
_cell_angle_alpha 90.00
_cell_angle_beta 90.00
_cell_angle_gamma 90.00
loop_
_symmetry_equiv_pos_as_xyz
'x,y,z'
loop_
_atom_site_label
_atom_site_fract_x
_atom_site_fract_y
_atom_site_fract_z
_atom_site_occupancy
Sr1 0.000 0.000 0.500 1
Te1 0.000 0.000 0.000 1
Te2 0.500 0.500 0.500 1
Ba1 0.500 0.500 0.000 1
```

Results
D(E_F)   0.00 states/eV per cell
Space-group type   P4/mmm, No. 123

#z
Material: BaSrTe2
Method: DFT, GGA-PBEsol
State: relaxed

Cell and atoms, written as CIF:
```
data_BaSrTe2
_chemical_formula_sum 'Ba1 Sr1 Te2'
_symmetry_space_group_name_H-M 'P 1'
_symmetry_Int_Tables_number 1
_cell_length_a 5.229
_cell_length_b 5.229
_cell_length_c 9.928
_cell_angle_alpha 74.73
_cell_angle_beta 74.73
_cell_angle_gamma 60.00
loop_
_symmetry_equiv_pos_as_xyz
'x,y,z'
loop_
_atom_site_label
_atom_site_fract_x
_atom_site_fract_y
_atom_site_fract_z
_atom_site_occupancy
Sr1 0.000 0.000 0.000 1
Te1 0.106 0.106 0.683 1
Te2 0.894 0.894 0.317 1
Ba1 0.500 0.500 0.500 1
```

Results
D(E_F)   1.04 states/eV per cell
Space-group type   R-3m, No. 166

Stability, lowest: #z